Entry 1:
# Mn2SbPd6 (PBE-GGA, optimized geometry)
data_Mn2SbPd6
_chemical_formula_sum 'Mn4 Sb2 Pd12'
_space_group_name_H-M_alt 'C 1 2/m 1'
_space_group_IT_number 12
_cell_length_a 8.657
_cell_length_b 4.115
_cell_length_c 8.299
_cell_angle_alpha 90.00
_cell_angle_beta 104.98
_cell_angle_gamma 90.00
loop_
_space_group_symop_operation_xyz
'x,y,z'
'-x,-y,-z'
'-x,y,-z'
'x,-y,z'
'x+1/2,y+1/2,z'
'-x+1/2,-y+1/2,-z'
'-x+1/2,y+1/2,-z'
'x+1/2,-y+1/2,z'
loop_
_atom_site_label
_atom_site_fract_x
_atom_site_fract_y
_atom_site_fract_z
Mn1 0.187 0.000 0.245
Sb1 0.000 0.500 0.000
Pd1 0.008 0.500 0.330
Pd2 0.161 0.000 0.893
Pd3 0.162 0.000 0.554
# Offset from the most stable computed form (meV/atom): 0.0
# Magnetic moment (μB per formula unit): 8.962
# VASP energy (eV per atom): -6.231
# Calculated volume (Å³ per atom): 15.87

***

Entry 2:
# MnSb2Pd (PBE-GGA, optimized geometry)
data_MnSb2Pd
_chemical_formula_sum 'Mn3 Sb6 Pd3'
_space_group_name_H-M_alt 'R -3 m'
_space_group_IT_number 166
_space_group_name_Hall '-R 3 2"'
_cell_length_a 3.3126
_cell_length_b 3.3126
_cell_length_c 28.3158
_cell_angle_alpha 90.00
_cell_angle_beta 90.00
_cell_angle_gamma 120.00
loop_
_atom_site_label
_atom_site_fract_x
_atom_site_fract_y
_atom_site_fract_z
Mn1 0.0000 0.0000 0.0000
Sb1 0.0000 0.0000 0.0945
Pd1 0.0000 0.0000 0.5000
# Offset from the most stable computed form (meV/atom): 190.8
# Magnetic moment (μB per formula unit): 4.049
# VASP energy (eV per atom): -5.433
# Calculated volume (Å³ per atom): 22.42

***

Entry 3:
# Mn2SbPd5 (PBE-GGA, optimized geometry)
data_Mn2SbPd5
_chemical_formula_sum 'Mn4 Sb2 Pd10'
_space_group_name_H-M_alt 'P b a m'
_space_group_IT_number 55
_cell_length_a 5.591
_cell_length_b 11.005
_cell_length_c 4.168
_cell_angle_alpha 90.00
_cell_angle_beta 90.00
_cell_angle_gamma 90.00
loop_
_space_group_symop_operation_xyz
'x,y,z'
'-x,-y,-z'
'-x,-y,z'
'x,y,-z'
'x+1/2,-y+1/2,-z'
'-x+1/2,y+1/2,z'
'-x+1/2,y+1/2,-z'
'x+1/2,-y+1/2,z'
loop_
_atom_site_label
_atom_site_fract_x
_atom_site_fract_y
_atom_site_fract_z
Mn1 0.185 0.141 0.000
Sb1 0.000 0.500 0.500
Pd1 0.000 0.000 0.500
Pd2 0.064 0.745 0.500
Pd3 0.206 0.386 0.000
# Offset from the most stable computed form (meV/atom): 0.0
# Magnetic moment (μB per formula unit): 9.490
# VASP energy (eV per atom): -6.373
# Calculated volume (Å³ per atom): 16.03

***

Entry 4:
# MnSbPd2 (PBE-GGA, optimized geometry)
data_MnSbPd2
_chemical_formula_sum 'Mn4 Sb4 Pd8'
_space_group_name_H-M_alt 'I -4 2 d'
_space_group_IT_number 122
_space_group_name_Hall 'I -4 2bw'
_cell_length_a 3.969
_cell_length_b 3.969
_cell_length_c 18.439
_cell_angle_alpha 90.00
_cell_angle_beta 90.00
_cell_angle_gamma 90.00
loop_
_atom_site_label
_atom_site_fract_x
_atom_site_fract_y
_atom_site_fract_z
Mn1 0.000 0.000 0.000
Sb1 0.000 0.000 0.500
Pd1 0.246 0.250 0.125
# Magnetic moment (μB per formula unit): 3.778
# VASP energy (eV per atom): -5.988
# Calculated volume (Å³ per atom): 18.16

***

Entry 5:
# Mn2SbPd8 (PBE-GGA, optimized geometry)
data_Mn2SbPd8
_chemical_formula_sum 'Mn4 Sb2 Pd16'
_space_group_name_H-M_alt 'I m m m'
_space_group_IT_number 71
_space_group_name_Hall '-I 2 2'
_cell_length_a 4.493
_cell_length_b 5.882
_cell_length_c 13.638
_cell_angle_alpha 90.00
_cell_angle_beta 90.00
_cell_angle_gamma 90.00
loop_
_atom_site_label
_atom_site_fract_x
_atom_site_fract_y
_atom_site_fract_z
Mn1 0.000 0.000 0.187
Sb1 0.000 0.000 0.500
Pd1 0.000 0.234 0.000
Pd2 0.000 0.267 0.352
Pd3 0.000 0.500 0.178
# Offset from the most stable computed form (meV/atom): 43.8
# Magnetic moment (μB per formula unit): 9.091
# VASP energy (eV per atom): -6.055
# Calculated volume (Å³ per atom): 16.38

***

Entry 6:
# MnSb2Pd2 (PBE-GGA, optimized geometry)
data_MnSb2Pd2
_chemical_formula_sum 'Mn2 Sb4 Pd4'
_space_group_name_H-M_alt 'P 4/m b m'
_space_group_IT_number 127
_space_group_name_Hall '-P 4 2ab'
_cell_length_a 6.918
_cell_length_b 6.918
_cell_length_c 3.866
_cell_angle_alpha 90.00
_cell_angle_beta 90.00
_cell_angle_gamma 90.00
loop_
_atom_site_label
_atom_site_fract_x
_atom_site_fract_y
_atom_site_fract_z
Mn1 0.000 0.000 0.000
Sb1 0.162 0.338 0.000
Pd1 0.145 0.645 0.500
# Offset from the most stable computed form (meV/atom): 247.8
# Magnetic moment (μB per formula unit): 0.000
# VASP energy (eV per atom): -5.428
# Calculated volume (Å³ per atom): 18.50